{
  "formula": "Cs6ZnGe8",
  "functional": "meta-GGA SCAN",
  "state": "single point on PBEsol structure",
  "lattice_angstrom": [[-1.218, -8.295, 9.020], [2.875, -11.972, -2.215], [11.530, 6.156, -1.189]],
  "species": ["Cs", "Cs", "Cs", "Cs", "Cs", "Cs", "Cs", "Cs", "Cs", "Cs", "Cs", "Cs", "Cs", "Cs", "Cs", "Cs", "Cs", "Cs", "Zn", "Zn", "Zn", "Ge", "Ge", "Ge", "Ge", "Ge", "Ge", "Ge", "Ge", "Ge", "Ge", "Ge", "Ge", "Ge", "Ge", "Ge", "Ge", "Ge", "Ge", "Ge", "Ge", "Ge", "Ge", "Ge", "Ge"],
  "fractional_positions": [[0.609, 0.000, 0.664], [0.557, 0.290, 0.362], [0.226, 0.616, 0.661], [0.273, 0.000, 0.365], [0.847, 0.710, 0.362], [0.677, 0.707, 0.000], [0.908, 0.000, 0.635], [0.091, 0.000, 0.000], [0.760, 0.000, 0.000], [0.008, 0.376, 0.000], [0.842, 0.384, 0.661], [0.385, 0.624, 0.000], [0.181, 0.384, 0.339], [0.485, 0.710, 0.638], [0.945, 0.000, 0.336], [0.195, 0.290, 0.638], [0.384, 0.293, 0.000], [0.565, 0.616, 0.339], [0.049, 0.667, 0.000], [0.387, 0.000, 0.000], [0.716, 0.333, 0.000], [0.257, 0.539, 0.184], [0.828, 0.685, 0.814], [0.943, 0.223, 0.186], [0.872, 0.666, 0.639], [0.203, 0.000, 0.641], [0.169, 0.121, 0.816], [0.415, 0.000, 0.813], [0.899, 0.334, 0.361], [0.757, 0.223, 0.814], [0.233, 0.666, 0.361], [0.166, 0.777, 0.186], [0.538, 0.334, 0.639], [0.699, 0.315, 0.186], [0.474, 0.879, 0.184], [0.796, 0.461, 0.184], [0.354, 0.121, 0.184], [0.290, 0.879, 0.816], [0.612, 0.461, 0.816], [0.602, 0.000, 0.187], [0.980, 0.777, 0.814], [0.563, 0.000, 0.359], [0.014, 0.685, 0.186], [0.073, 0.539, 0.816], [0.513, 0.315, 0.814]],
  "e_form_ev_per_atom": -0.27,
  "magnetic_moment_mub_per_fu": 0.000
}


{
  "formula": "CsH2",
  "functional": "meta-GGA SCAN",
  "state": "single point on PBEsol structure",
  "lattice_angstrom": [[-3.943, 0.686, -2.816], [-4.036, -1.355, 2.415], [-1.098, 5.641, 2.182]],
  "species": ["Cs", "Cs", "H", "H", "H", "H"],
  "fractional_positions": [[0.172, 0.172, 0.246], [0.828, 0.828, 0.754], [0.459, 0.459, 0.540], [0.541, 0.541, 0.460], [0.799, 0.799, 0.257], [0.201, 0.201, 0.743]],
  "dos_ef_per_ev_fu": 0.00,
  "magnetic_moment_mub_per_fu": 0.000,
  "total_energy_ev_per_atom": -15.06
}